Here is Ga2ICl after structural relaxation from Alexandria. Energies are from PBE.

Unit cell a=7.734 b=7.734 c=7.734 alpha=90.00 beta=90.00 gamma=90.00
Space group Fm-3m (No. 225)
Asymmetric unit:
Ga 0.250 0.250 0.250 [8 per cell]
I 0.000 0.000 0.000 [4 per cell]
Cl 0.000 0.000 0.500 [4 per cell]

Values from the calculation:
- DFT total energy (eV/cell) = -44.33
- volume (Å³/cell) = 462.7
- magnetization (μB per formula unit) = 0.000
- energy above the lowest structure with this stoichiometry (meV/atom) = 116.7